Rb2SrNiF6 | GGA+U | optimized geometry

The density of states at the Fermi level comes out at 0.00 states/eV per atom. As for the calculated density: 4.12 g/cm³. For the total energy, the calculation gives -46.78 eV/cell. The size of the total moment comes out at 2.00 μB per formula unit.

abc: 6.2631 6.2631 6.2650
angles: 60.01 60.01 90.00
Each line ends with the local moment (μB).
Fractional coordinates of all 10 atoms:
F (0.2694, 0.7306, 0.0000)  0.02
F (0.7307, 0.7307, 0.5386)  0.02
F (0.2694, 0.2694, 0.0000)  0.02
F (0.2693, 0.2693, 0.4614)  0.02
F (0.7306, 0.2694, 0.0000)  0.02
F (0.7306, 0.7306, 0.0000)  0.02
Rb (0.7500, 0.2500, 0.5000)  0.00
Rb (0.2500, 0.7500, 0.5000)  0.00
Ni (0.5000, 0.5000, 0.0000)  1.83
Sr (0.0000, 0.0000, 0.0000)  0.01